# 1
LiAlAsBr2: PBEsol geometry, meta-GGA SCAN.

The structure in extended XYZ format:
```
5
Lattice="4.742 0.000 0.000 0.000 4.742 0.000 0.000 0.000 4.985" Properties=species:S:1:pos:R:3 pbc="T T T"
As 0.000 0.000 2.492
Al 2.371 2.371 2.492
Br 0.000 2.371 0.000
Br 2.371 0.000 0.000
Li 0.000 0.000 0.000
```

The formation energy (no corrections) comes out at 0.05 eV per atom. Its symmetry is P4/mmm (123).

# 2
Pt3Au: PBEsol geometry, meta-GGA SCAN.

The structure in extended XYZ format:
```
4
Lattice="-0.776 -1.566 2.156 1.246 -2.435 0.466 6.434 2.899 6.207" Properties=species:S:1:pos:R:3 pbc="T T T"
Au 0.000 0.000 0.000
Pt 1.756 -0.255 2.233
Pt 3.452 -0.551 4.414
Pt 5.148 -0.847 6.596
```

Its symmetry is R-3m (166). Its calculated formation energy is 6.7 kJ per mole of atoms.

# 3
AlPN2F: PBEsol geometry, meta-GGA SCAN.

The structure in extended XYZ format:
```
5
Lattice="3.573 0.000 0.000 0.000 3.590 0.000 0.000 0.000 3.590" Properties=species:S:1:pos:R:3 pbc="T T T"
P 0.000 0.000 0.000
N 0.000 0.000 1.795
N 0.000 1.795 0.000
Al 1.787 1.795 1.795
F 1.787 0.000 0.000
```

The formation energy (no corrections) comes out at 0.12 eV per atom. Its symmetry is P4/mmm (123).

# 4
BaCrF7: PBEsol geometry, meta-GGA SCAN.

The structure in extended XYZ format:
```
36
Lattice="-2.355 -4.653 -0.564 8.904 -4.164 -0.038 -0.410 -0.965 9.673" Properties=species:S:1:pos:R:3 pbc="T T T"
Ba 2.722 -5.684 2.649
Ba 7.815 -6.308 7.696
Ba 3.418 -4.097 6.422
Ba -1.675 -3.473 1.375
Cr -0.562 -5.227 5.389
Cr 6.701 -4.554 3.681
Cr 3.772 -7.586 8.148
Cr 2.367 -2.195 0.923
F 5.490 -8.179 3.936
F 4.037 -5.771 0.011
F 0.541 -4.189 6.342
F 5.598 -5.592 2.729
F 5.286 -3.708 4.367
F 2.480 -6.592 7.384
F 1.796 -1.810 7.272
F 5.132 -8.562 8.769
F -0.584 -4.090 4.045
F 1.197 -3.391 1.556
F 1.212 -5.688 -0.142
F 0.649 -1.603 5.135
F -0.112 -5.897 1.891
F -0.940 -4.367 8.847
F 0.853 -6.073 4.704
F 1.007 -1.219 0.302
F 4.343 -7.971 1.799
F 4.927 -4.093 9.213
F 2.461 -3.724 4.162
F 2.102 -4.010 9.060
F 7.079 -5.414 0.224
F 6.251 -3.884 7.180
F 3.678 -6.058 4.909
F 8.061 -5.389 2.847
F 3.659 -3.189 1.687
F -1.922 -4.392 6.224
F 6.724 -5.691 5.026
F 4.942 -6.390 7.515
```

The formation energy (no corrections) comes out at -2.95 eV per atom. Its symmetry is P2_1/c (14).

no.,electronic total energy (eV/atom)
1,-13.7967
2,-69.8643
3,-7.9371
4,-12.1358